(A)
A geometry-optimized BaFeBr2 structure, computed with PBE.

Unit cell a=9.5442 b=9.5442 c=9.5442 alpha=24.69 beta=24.69 gamma=24.69
Fractional coordinates of all 4 atoms:
Ba 0.0000 0.0000 0.0000
Fe 0.5000 0.5000 0.5000
Br 0.1174 0.1174 0.1174
Br 0.8826 0.8826 0.8826

Summary:
Symmetry ... No. 166
Crystal system ... trigonal

***

(B)
A geometry-optimized BaFeBr2 structure, computed with PBE.

Unit cell a=4.1148 b=4.1148 c=7.3435 alpha=90.00 beta=90.00 gamma=90.00
Fractional coordinates of all 4 atoms:
Ba 0.0000 0.0000 0.0000
Fe 0.0000 0.0000 0.5000
Br 0.5000 0.5000 0.2408
Br 0.5000 0.5000 0.7592

Summary:
Symmetry ... No. 123
Crystal system ... tetragonal

***

(C)
A geometry-optimized BaFeBr2 structure, computed with PBE.

Unit cell a=5.6006 b=5.6006 c=5.6006 alpha=60.00 beta=60.00 gamma=60.00
Fractional coordinates of all 4 atoms:
Ba 0.0000 0.0000 0.0000
Fe 0.2500 0.2500 0.2500
Br 0.5000 0.5000 0.5000
Br 0.7500 0.7500 0.7500

Summary:
Symmetry ... No. 216
Crystal system ... cubic

***

Stability, lowest: (C)